# MoAsS

A relaxed MoAsS crystal (GGA-PBE, Alexandria via LeMat-Bulk).

Formation energy without anion corrections in eV per formula unit: -0.9
Total magnetic moment in μB/f.u.: 0.00
Volume in Å³ per atom: 21.5

a b c (Å): 3.092 5.602 7.484
angles (deg): 94.48 90.00 90.00
Fractional coordinates of all 6 atoms:
S 0.750 0.889 0.785
S 0.250 0.111 0.215
As 0.750 0.599 0.248
As 0.250 0.401 0.752
Mo 0.750 0.234 0.001
Mo 0.250 0.766 0.999

# TaSiHg2

A relaxed TaSiHg2 crystal (GGA-PBE, Alexandria via LeMat-Bulk).

Formation energy without anion corrections in eV per formula unit: 2.1
Total magnetic moment in μB/f.u.: 0.00
Volume in Å³ per atom: 19.5

a b c (Å): 9.546 9.546 9.546
angles (deg): 18.69 18.69 18.69
Fractional coordinates of all 4 atoms:
Hg 0.502 0.502 0.502
Hg 0.998 0.998 0.998
Ta 0.750 0.750 0.750
Si 0.250 0.250 0.250

# CeY4Ho3S8

A relaxed CeY4Ho3S8 crystal (GGA-PBE, Alexandria via LeMat-Bulk).

Formation energy without anion corrections in eV per formula unit: -31.9
Total magnetic moment in μB/f.u.: 0.00
Volume in Å³ per atom: 21.3

a b c (Å): 7.837 7.834 7.837
angles (deg): 120.01 120.00 90.00
Fractional coordinates of all 16 atoms:
Ce 0.000 0.500 0.000
Y 0.000 0.000 0.500
Y 0.500 0.000 0.500
Y 0.500 0.000 0.000
Y 0.000 0.000 0.000
Ho 0.500 0.500 0.000
Ho 0.500 0.500 0.500
Ho 0.000 0.500 0.500
S 0.747 0.250 0.002
S 0.253 0.750 0.505
S 0.749 0.747 0.498
S 0.253 0.750 0.998
S 0.255 0.250 0.002
S 0.251 0.253 0.502
S 0.747 0.250 0.495
S 0.745 0.750 0.998

# SrLa2AlCo

A relaxed SrLa2AlCo crystal (GGA-PBE, Alexandria via LeMat-Bulk).

DFT formation energy in meV per atom: -116.3
Total magnetic moment in μB/f.u.: 0.00
Volume in Å³ per atom: 29.4

a b c (Å): 5.433 5.433 4.972
angles (deg): 90.00 90.00 90.00
Fractional coordinates of all 5 atoms:
La 0.500 0.000 0.000
La 0.000 0.500 0.000
Sr 0.500 0.500 0.500
Co 0.000 0.000 0.000
Al 0.000 0.000 0.500

# KPt

A relaxed KPt crystal (GGA-PBE, Alexandria via LeMat-Bulk).

DFT formation energy in meV per atom: 347.1
Total magnetic moment in μB/f.u.: 0.00
Volume in Å³ per atom: 23.1

a b c (Å): 5.075 5.075 5.075
angles (deg): 60.00 60.00 60.00
Fractional coordinates of all 4 atoms:
Pt 0.250 0.250 0.250
Pt 0.500 0.500 0.500
K 0.750 0.750 0.750
K 0.000 0.000 0.000

# Nd12TmCd6

A relaxed Nd12TmCd6 crystal (GGA-PBE, Alexandria via LeMat-Bulk).

DFT formation energy in meV per atom: -105.8
Total magnetic moment in μB/f.u.: 0.00
Volume in Å³ per atom: 30.4

a b c (Å): 8.332 8.332 8.332
angles (deg): 87.86 87.86 87.86
Fractional coordinates of all 19 atoms:
Nd 0.808 0.532 0.432
Nd 0.468 0.568 0.192
Nd 0.432 0.808 0.532
Nd 0.385 0.044 0.154
Nd 0.154 0.385 0.044
Nd 0.192 0.468 0.568
Nd 0.615 0.956 0.846
Nd 0.846 0.615 0.956
Nd 0.044 0.154 0.385
Nd 0.956 0.846 0.615
Nd 0.532 0.432 0.808
Nd 0.568 0.192 0.468
Cd 0.113 0.743 0.261
Cd 0.739 0.887 0.257
Cd 0.743 0.261 0.113
Cd 0.887 0.257 0.739
Cd 0.261 0.113 0.743
Cd 0.257 0.739 0.887
Tm 0.000 0.000 0.000

# LaTe4Os

A relaxed LaTe4Os crystal (GGA-PBE, Alexandria via LeMat-Bulk).

Formation energy without anion corrections in eV per formula unit: 4.0
Total magnetic moment in μB/f.u.: 2.83
Volume in Å³ per atom: 28.6

a b c (Å): 6.236 6.236 6.236
angles (deg): 60.00 60.00 60.00
Fractional coordinates of all 6 atoms:
Te 0.877 0.374 0.374
Te 0.374 0.374 0.877
Te 0.374 0.877 0.374
Te 0.374 0.374 0.374
La 0.750 0.750 0.750
Os 0.000 0.000 0.000

# Ac2PmBe2Pt7

A relaxed Ac2PmBe2Pt7 crystal (GGA-PBE, Alexandria via LeMat-Bulk).

DFT formation energy in meV per atom: -977.2
Total magnetic moment in μB/f.u.: 0.00
Volume in Å³ per atom: 19.5

a b c (Å): 4.195 4.195 13.417
angles (deg): 84.78 84.78 89.77
Fractional coordinates of all 12 atoms:
Ac 0.096 0.096 0.651
Ac 0.904 0.904 0.349
Be 0.571 0.571 0.760
Be 0.429 0.429 0.240
Pm 0.000 0.000 0.000
Pt 0.953 0.454 0.163
Pt 0.613 0.613 0.584
Pt 0.047 0.546 0.837
Pt 0.546 0.047 0.837
Pt 0.454 0.953 0.163
Pt 0.500 0.500 0.000
Pt 0.387 0.387 0.416

# BeAsAu

A relaxed BeAsAu crystal (GGA-PBE, Alexandria via LeMat-Bulk).

DFT formation energy in meV per atom: 188.0
Total magnetic moment in μB/f.u.: 0.00
Volume in Å³ per atom: 16.7

a b c (Å): 3.809 3.809 3.979
angles (deg): 90.00 90.00 120.00
Fractional coordinates of all 3 atoms:
Be 0.333 0.667 0.760
As 0.000 0.000 0.873
Au 0.667 0.333 0.368

# MgZrCd2

A relaxed MgZrCd2 crystal (GGA-PBE, Alexandria via LeMat-Bulk).

DFT formation energy in meV per atom: 322.5
Total magnetic moment in μB/f.u.: 0.00
Volume in Å³ per atom: 24.0

a b c (Å): 6.711 6.711 6.711
angles (deg): 55.96 155.02 130.79
Fractional coordinates of all 4 atoms:
Zr 0.000 0.500 0.500
Mg 0.000 0.000 0.000
Cd 0.000 0.244 0.244
Cd 0.000 0.756 0.756

# ReBrCl2

A relaxed ReBrCl2 crystal (GGA-PBE, Alexandria via LeMat-Bulk).

Formation energy without anion corrections in eV per formula unit: 4.6
Total magnetic moment in μB/f.u.: 4.00
Volume in Å³ per atom: 20.8

a b c (Å): 4.903 4.903 4.903
angles (deg): 60.00 60.00 60.00
Fractional coordinates of all 4 atoms:
Re 0.500 0.500 0.500
Br 0.000 0.000 0.000
Cl 0.750 0.750 0.750
Cl 0.250 0.250 0.250

# Cr2ReHg

A relaxed Cr2ReHg crystal (GGA-PBE, Alexandria via LeMat-Bulk).

DFT formation energy in meV per atom: 601.4
Total magnetic moment in μB/f.u.: 3.27
Volume in Å³ per atom: 15.1

a b c (Å): 4.398 4.398 3.130
angles (deg): 90.00 90.00 90.00
Fractional coordinates of all 4 atoms:
Re 0.000 0.500 0.500
Cr 0.500 0.500 0.000
Cr 0.000 0.000 0.000
Hg 0.500 0.000 0.500

# BeAl2Tl

A relaxed BeAl2Tl crystal (GGA-PBE, Alexandria via LeMat-Bulk).

DFT formation energy in meV per atom: 502.5
Total magnetic moment in μB/f.u.: 0.00
Volume in Å³ per atom: 18.0

a b c (Å): 5.337 5.337 5.337
angles (deg): 136.11 136.11 63.81
Fractional coordinates of all 4 atoms:
Tl 0.750 0.250 0.500
Be 0.250 0.750 0.500
Al 0.500 0.500 0.000
Al 0.000 0.000 0.000

# In2Ga2Se

A relaxed In2Ga2Se crystal (GGA-PBE, Alexandria via LeMat-Bulk).

Formation energy without anion corrections in eV per formula unit: 0.6
Total magnetic moment in μB/f.u.: 0.00
Volume in Å³ per atom: 24.9

a b c (Å): 4.636 4.636 6.659
angles (deg): 69.63 69.63 90.00
Fractional coordinates of all 5 atoms:
In 0.750 0.250 0.500
In 0.250 0.750 0.500
Ga 0.603 0.603 0.794
Ga 0.397 0.397 0.206
Se 0.000 0.000 0.000

# Tb2TeO6

A relaxed Tb2TeO6 crystal (GGA-PBE, Alexandria via LeMat-Bulk).

Formation energy without anion corrections in eV per formula unit: -22.5
Total magnetic moment in μB/f.u.: 0.00
Volume in Å³ per atom: 14.5

a b c (Å): 5.531 5.779 8.235
angles (deg): 90.00 96.04 90.00
Fractional coordinates of all 18 atoms:
O 0.332 0.604 0.796
O 0.148 0.258 0.389
O 0.781 0.680 0.953
O 0.832 0.896 0.296
O 0.281 0.820 0.453
O 0.852 0.742 0.611
O 0.719 0.180 0.547
O 0.168 0.104 0.704
O 0.219 0.320 0.047
O 0.648 0.242 0.889
O 0.668 0.396 0.204
O 0.352 0.758 0.111
Te 0.500 0.500 0.000
Te 0.000 0.000 0.500
Tb 0.459 0.069 0.265
Tb 0.541 0.931 0.735
Tb 0.041 0.569 0.235
Tb 0.959 0.431 0.765

# Na3Cd2In6Sn

A relaxed Na3Cd2In6Sn crystal (GGA-PBE, Alexandria via LeMat-Bulk).

DFT formation energy in meV per atom: -20.2
Total magnetic moment in μB/f.u.: 0.00
Volume in Å³ per atom: 28.0

a b c (Å): 6.187 6.187 10.145
angles (deg): 90.00 90.00 120.00
Fractional coordinates of all 12 atoms:
In 0.829 0.171 0.754
In 0.171 0.341 0.246
In 0.659 0.829 0.246
In 0.829 0.659 0.754
In 0.171 0.829 0.246
In 0.341 0.171 0.754
Cd 0.333 0.667 0.921
Cd 0.667 0.333 0.079
Na 0.333 0.667 0.566
Na 0.667 0.333 0.434
Na 0.000 0.000 0.000
Sn 0.000 0.000 0.500

# NbReI2N

A relaxed NbReI2N crystal (GGA-PBE, Alexandria via LeMat-Bulk).

Formation energy without anion corrections in eV per formula unit: 4.7
Total magnetic moment in μB/f.u.: 3.34
Volume in Å³ per atom: 23.2

a b c (Å): 5.557 5.557 3.756
angles (deg): 90.00 90.00 90.00
Fractional coordinates of all 5 atoms:
I 0.000 0.500 0.000
I 0.500 0.000 0.000
N 0.000 0.000 0.500
Nb 0.500 0.500 0.500
Re 0.000 0.000 0.000

# YAl2Tc

A relaxed YAl2Tc crystal (GGA-PBE, Alexandria via LeMat-Bulk).

DFT formation energy in meV per atom: -186.9
Total magnetic moment in μB/f.u.: 0.00
Volume in Å³ per atom: 18.7

a b c (Å): 4.004 3.391 5.754
angles (deg): 72.86 90.00 90.00
Fractional coordinates of all 4 atoms:
Al 0.500 0.047 0.281
Al 0.000 0.178 0.018
Y 0.500 0.794 0.786
Tc 0.000 0.480 0.414

# Na3In3HgPb2

A relaxed Na3In3HgPb2 crystal (GGA-PBE, Alexandria via LeMat-Bulk).

DFT formation energy in meV per atom: -105.7
Total magnetic moment in μB/f.u.: 0.00
Volume in Å³ per atom: 27.8

a b c (Å): 3.529 9.045 9.045
angles (deg): 120.00 90.00 90.00
Fractional coordinates of all 9 atoms:
Pb 0.500 0.667 0.333
Pb 0.500 0.333 0.667
In 0.000 0.642 0.642
In 0.000 0.000 0.358
In 0.000 0.358 0.000
Hg 0.000 0.000 0.000
Na 0.500 0.000 0.711
Na 0.500 0.289 0.289
Na 0.500 0.711 0.000

# BeZnP4

A relaxed BeZnP4 crystal (GGA-PBE, Alexandria via LeMat-Bulk).

DFT formation energy in meV per atom: 744.3
Total magnetic moment in μB/f.u.: 0.00
Volume in Å³ per atom: 14.8

a b c (Å): 5.013 5.013 5.013
angles (deg): 60.00 60.00 60.00
Fractional coordinates of all 6 atoms:
P 0.879 0.374 0.374
P 0.374 0.374 0.879
P 0.374 0.374 0.374
P 0.374 0.879 0.374
Be 0.000 0.000 0.000
Zn 0.750 0.750 0.750

# TlSn3Bi

A relaxed TlSn3Bi crystal (GGA-PBE, Alexandria via LeMat-Bulk).

DFT formation energy in meV per atom: 53.2
Total magnetic moment in μB/f.u.: 0.00
Volume in Å³ per atom: 30.5

a b c (Å): 5.739 6.397 8.785
angles (deg): 90.00 109.06 90.00
Fractional coordinates of all 10 atoms:
Bi 0.530 0.750 0.061
Bi 0.470 0.250 0.939
Sn 0.119 0.750 0.238
Sn 0.712 0.493 0.424
Sn 0.288 0.993 0.576
Sn 0.712 0.007 0.424
Sn 0.881 0.250 0.762
Sn 0.288 0.507 0.576
Tl 0.904 0.750 0.808
Tl 0.096 0.250 0.192

# CaY3P

A relaxed CaY3P crystal (GGA-PBE, Alexandria via LeMat-Bulk).

DFT formation energy in meV per atom: 1172.8
Total magnetic moment in μB/f.u.: 0.00
Volume in Å³ per atom: 31.9

a b c (Å): 5.424 5.424 5.424
angles (deg): 90.00 90.00 90.00
Fractional coordinates of all 5 atoms:
Y 0.500 0.000 0.000
Y 0.000 0.500 0.000
Y 0.000 0.000 0.500
P 0.500 0.500 0.500
Ca 0.000 0.000 0.000

# YCdAgPd

A relaxed YCdAgPd crystal (GGA-PBE, Alexandria via LeMat-Bulk).

DFT formation energy in meV per atom: -488.9
Total magnetic moment in μB/f.u.: 0.00
Volume in Å³ per atom: 20.6

a b c (Å): 4.881 4.881 4.881
angles (deg): 60.00 60.00 60.00
Fractional coordinates of all 4 atoms:
Ag 0.000 0.000 0.000
Y 0.750 0.750 0.750
Pd 0.500 0.500 0.500
Cd 0.250 0.250 0.250

# KZr3Te

A relaxed KZr3Te crystal (GGA-PBE, Alexandria via LeMat-Bulk).

Formation energy without anion corrections in eV per formula unit: 3.5
Total magnetic moment in μB/f.u.: 0.00
Volume in Å³ per atom: 32.4

a b c (Å): 5.450 5.450 5.450
angles (deg): 90.00 90.00 90.00
Fractional coordinates of all 5 atoms:
K 0.500 0.500 0.500
Zr 0.000 0.000 0.500
Zr 0.000 0.500 0.000
Zr 0.500 0.000 0.000
Te 0.000 0.000 0.000

# NaAlHg2H

A relaxed NaAlHg2H crystal (GGA-PBE, Alexandria via LeMat-Bulk).

Total magnetic moment in μB/f.u.: 0.00
Volume in Å³ per atom: 21.0
E_tot in eV/cell: -8.92

a b c (Å): 5.477 5.477 3.505
angles (deg): 90.00 90.00 90.00
Fractional coordinates of all 5 atoms:
Hg 0.500 0.000 0.000
Hg 0.000 0.500 0.000
H 0.000 0.000 0.500
Al 0.000 0.000 0.000
Na 0.500 0.500 0.500

# HgRhAu

A relaxed HgRhAu crystal (GGA-PBE, Alexandria via LeMat-Bulk).

DFT formation energy in meV per atom: 302.3
Total magnetic moment in μB/f.u.: 0.00
Volume in Å³ per atom: 20.9

a b c (Å): 4.461 4.461 4.461
angles (deg): 60.00 60.00 60.00
Fractional coordinates of all 3 atoms:
Au 0.000 0.000 0.000
Hg 0.500 0.500 0.500
Rh 0.250 0.250 0.250

no.,N(E_F) (states/eV/atom)
1,0.343
2,0.634
3,0.674
4,0.899
5,1.517
6,1.278
7,0.964
8,0.171
9,0.206
10,0.833
11,0.863
12,0.718
13,0.239
14,0.570
15,0.000
16,0.411
17,0.830
18,0.474
19,0.521
20,0.358
21,0.347
22,0.992
23,0.690
24,0.943
25,0.502
26,0.143